BaGa3Tc, optimized geometry, DFT GGA-PBE; symmetry = P1, No. 1
1.0
4.969 0.000 0.000
0.178 6.721 0.000
1.800 2.419 7.753
Ba Ga Tc
2 6 2
direct
0.000 0.000 0.000
0.186 0.674 0.508
0.144 0.291 0.250
0.274 0.149 0.564
0.613 0.344 0.757
0.614 0.845 0.752
0.635 0.405 0.264
0.985 0.527 0.947
0.470 0.515 0.978
0.787 0.178 0.535


BaGa2Tc, optimized geometry, DFT GGA-PBE; symmetry = I4_1/amd, No. 141
1.0
-2.699 2.699 8.194
2.699 -2.699 8.194
2.699 2.699 -8.194
Ba Ga Tc
2 4 2
direct
0.375 0.625 0.750
0.625 0.375 0.250
0.000 0.000 0.000
0.000 0.000 0.500
0.000 0.500 0.000
0.500 0.000 0.500
0.125 0.875 0.250
0.875 0.125 0.750


BaGaTc, optimized geometry, DFT GGA-PBE; symmetry = P2_1/m, No. 11
1.0
4.289 0.000 0.000
0.000 4.165 0.000
-0.726 0.000 9.866
Ba Ga Tc
2 2 2
direct
0.224 0.250 0.307
0.776 0.750 0.693
0.326 0.250 0.849
0.674 0.750 0.151
0.154 0.750 0.000
0.846 0.250 0.000


BaGa2Tc, optimized geometry, DFT GGA-PBE; symmetry = Fm-3m, No. 225
1.0
0.000 3.573 3.573
3.573 0.000 3.573
3.573 3.573 0.000
Ba Ga Tc
1 2 1
direct
0.000 0.000 0.000
0.250 0.250 0.250
0.750 0.750 0.750
0.500 0.500 0.500


| no. | electronic total energy (eV/atom) | energy relative to the elements (meV/atom) |
| --- | --- | --- |
| 1 | -4.569 | -295.6 |
| 2 | -4.467 | 118.8 |
| 3 | -5.168 | -62.6 |
| 4 | -4.157 | 428.8 |